VASP calculation (PBE-GGA) on a relaxed Tb5PrSm2 crystal.

Results
- energy above the lowest structure with this stoichiometry (eV per atom) = 0.2265
- energy relative to the elements (kJ/mol of atoms) = 23.4

POSCAR file:
```
Tb5PrSm2
1.0
7.178 0.000 0.000
0.000 10.087 0.000
-1.784 0.000 7.661
Tb Pr Sm
10 2 4
direct
0.069 0.250 0.280
0.093 0.591 0.364
0.093 0.909 0.364
0.246 0.029 0.000
0.246 0.471 0.000
0.754 0.529 0.000
0.754 0.971 0.000
0.907 0.091 0.636
0.907 0.409 0.636
0.931 0.750 0.720
0.425 0.750 0.732
0.575 0.250 0.268
0.413 0.094 0.639
0.413 0.406 0.639
0.587 0.594 0.361
0.587 0.906 0.361
```